1.
A relaxed TbNd2Sc2 crystal. Source: Alexandria, functional PBE.

Structure (CIF):
```
data_TbNd2Sc2
_cell_length_a 9.081
_cell_length_b 9.081
_cell_length_c 5.649
_cell_angle_alpha 107.90
_cell_angle_beta 107.90
_cell_angle_gamma 121.69
_symmetry_space_group_name_H-M 'P 1'
_symmetry_Int_Tables_number 1
loop_
_symmetry_equiv_pos_as_xyz
'x,y,z'
loop_
_atom_site_label
_atom_site_type_symbol
_atom_site_fract_x
_atom_site_fract_y
_atom_site_fract_z
_atom_site_occupancy
Nd1 Nd 0.178 0.305 0.494 1
Nd2 Nd 0.695 0.822 0.006 1
Nd3 Nd 0.305 0.178 0.994 1
Nd4 Nd 0.822 0.695 0.506 1
Tb1 Tb 0.838 0.162 0.750 1
Tb2 Tb 0.162 0.838 0.250 1
Sc1 Sc 0.377 0.623 0.250 1
Sc2 Sc 0.740 0.260 0.250 1
Sc3 Sc 0.260 0.740 0.750 1
Sc4 Sc 0.623 0.377 0.750 1
```

Calculated values
For the size of the total moment, the calculation gives 0.00 μB/cell. For the theoretical density, the calculation gives 5.802 Mg/m³. The crystal system is monoclinic.



2.
A relaxed TbNd2Sc2 crystal. Source: Alexandria, functional PBE.

Structure (CIF):
```
data_TbNd2Sc2
_cell_length_a 4.825
_cell_length_b 7.059
_cell_length_c 15.379
_cell_angle_alpha 36.47
_cell_angle_beta 99.03
_cell_angle_gamma 90.00
_symmetry_space_group_name_H-M 'P 1'
_symmetry_Int_Tables_number 1
loop_
_symmetry_equiv_pos_as_xyz
'x,y,z'
loop_
_atom_site_label
_atom_site_type_symbol
_atom_site_fract_x
_atom_site_fract_y
_atom_site_fract_z
_atom_site_occupancy
Nd1 Nd 0.195 0.569 0.389 1
Nd2 Nd 0.195 0.069 0.389 1
Nd3 Nd 0.805 0.431 0.611 1
Nd4 Nd 0.805 0.931 0.611 1
Sc1 Sc 0.404 0.834 0.809 1
Sc2 Sc 0.596 0.166 0.191 1
Sc3 Sc 0.595 0.666 0.191 1
Sc4 Sc 0.405 0.334 0.809 1
Tb1 Tb 0.000 0.250 0.000 1
Tb2 Tb 0.000 0.750 0.000 1
```

Calculated values
For the size of the total moment, the calculation gives 0.00 μB/cell. For the theoretical density, the calculation gives 5.942 Mg/m³. The crystal system is monoclinic.



Most stable: 2



1.
A relaxed Tb4Nd2Sc3 crystal. Source: Alexandria, functional PBE.

Structure (CIF):
```
data_Tb4Nd2Sc3
_cell_length_a 6.149
_cell_length_b 9.019
_cell_length_c 10.896
_cell_angle_alpha 70.80
_cell_angle_beta 73.69
_cell_angle_gamma 89.84
_symmetry_space_group_name_H-M 'P 1'
_symmetry_Int_Tables_number 1
loop_
_symmetry_equiv_pos_as_xyz
'x,y,z'
loop_
_atom_site_label
_atom_site_type_symbol
_atom_site_fract_x
_atom_site_fract_y
_atom_site_fract_z
_atom_site_occupancy
Tb1 Tb 0.954 0.197 0.943 1
Tb2 Tb 0.494 0.075 0.836 1
Tb3 Tb 0.381 0.134 0.391 1
Tb4 Tb 0.829 0.411 0.164 1
Tb5 Tb 0.046 0.803 0.057 1
Tb6 Tb 0.619 0.866 0.609 1
Tb7 Tb 0.506 0.925 0.164 1
Tb8 Tb 0.171 0.589 0.836 1
Sc1 Sc 0.051 0.974 0.727 1
Sc2 Sc 0.283 0.355 0.611 1
Sc3 Sc 0.949 0.026 0.273 1
Sc4 Sc 0.618 0.694 0.940 1
Sc5 Sc 0.382 0.306 0.060 1
Sc6 Sc 0.717 0.645 0.389 1
Nd1 Nd 0.838 0.256 0.500 1
Nd2 Nd 0.709 0.468 0.727 1
Nd3 Nd 0.291 0.532 0.273 1
Nd4 Nd 0.162 0.744 0.500 1
```

Calculated values
For the size of the total moment, the calculation gives 0.00 μB/cell. For the theoretical density, the calculation gives 6.454 Mg/m³. The crystal system is triclinic.



2.
A relaxed Tb4Nd2Sc3 crystal. Source: Alexandria, functional PBE.

Structure (CIF):
```
data_Tb4Nd2Sc3
_cell_length_a 3.514
_cell_length_b 3.514
_cell_length_c 25.684
_cell_angle_alpha 90.00
_cell_angle_beta 90.00
_cell_angle_gamma 120.00
_symmetry_space_group_name_H-M 'P 1'
_symmetry_Int_Tables_number 1
loop_
_symmetry_equiv_pos_as_xyz
'x,y,z'
loop_
_atom_site_label
_atom_site_type_symbol
_atom_site_fract_x
_atom_site_fract_y
_atom_site_fract_z
_atom_site_occupancy
Sc1 Sc 0.000 0.000 0.328 1
Sc2 Sc 0.667 0.333 0.651 1
Sc3 Sc 0.000 0.000 0.981 1
Tb1 Tb 0.667 0.333 0.225 1
Tb2 Tb 0.000 0.000 0.754 1
Tb3 Tb 0.000 0.000 0.547 1
Tb4 Tb 0.667 0.333 0.432 1
Nd1 Nd 0.667 0.333 0.873 1
Nd2 Nd 0.667 0.333 0.086 1
```

Calculated values
For the size of the total moment, the calculation gives 0.00 μB/cell. For the theoretical density, the calculation gives 6.401 Mg/m³. The crystal system is trigonal.



Most stable: 1